1.
Density functional theory data (SCAN) for a PBEsol-optimized structure of BeCoCl2. Values from VASP.

formation energy without anion corrections: -0.69 eV/f.u.
V: 64.8 Å³ per cell

```
&SYSTEM
  ibrav = 0, nat = 4, ntyp = 3
/
ATOMIC_SPECIES
Be 9.01 Be.upf
Cl 35.45 Cl.upf
Co 58.93 Co.upf
CELL_PARAMETERS angstrom
-2.7069 0.0114 -1.9756
-2.4186 -2.2739 0.4585
-4.7839 3.3714 3.7318
ATOMIC_POSITIONS angstrom
Be 0.0000 0.0000 0.0000
Cl -6.0473 -1.0260 -0.2471
Cl -3.8622 2.1349 2.4617
Co -4.9548 0.5544 1.1073
```

***

2.
Density functional theory data (SCAN) for a PBEsol-optimized structure of BeCo2Cl. Values from VASP.

formation energy without anion corrections: 0.77 eV/f.u.
excess energy over the best structure of this formula in the dataset: 0 meV/atom
V: 47.6 Å³ per cell

```
&SYSTEM
  ibrav = 0, nat = 4, ntyp = 3
/
ATOMIC_SPECIES
Co 58.93 Co.upf
Be 9.01 Be.upf
Cl 35.45 Cl.upf
CELL_PARAMETERS angstrom
-0.3161 -2.5647 -0.8268
2.8287 0.1845 -1.6536
1.3838 -0.5293 5.5646
ATOMIC_POSITIONS angstrom
Co 3.8039 -2.8493 2.9327
Co 0.7481 -1.8725 1.0708
Be 1.4757 -1.3330 -0.8809
Cl 3.0215 -0.9544 1.8056
```